Entry 1:
VASP calculation (meta-GGA SCAN) on a PBEsol-optimized structure of Y2MgSc.

Cell: 3.6633 5.4495 5.4495 Å, 98.48 90.00 90.00°
Sites, in units of the cell vectors:
Y: 0.0000 0.0000 0.5000
Y: 0.0000 0.5000 0.0000
Sc: 0.5000 0.0000 0.0000
Mg: 0.5000 0.5000 0.5000

energy of formation from the pure elements: 0.078 eV/f.u.
DFT total energy: -18.705 eV/atom


Entry 2:
VASP calculation (meta-GGA SCAN) on a PBEsol-optimized structure of YMgSc2.

Cell: 4.7683 4.7683 5.5358 Å, 115.51 115.51 90.00°
Each line ends with the local moment (μB).
Sites, in units of the cell vectors:
Y: 0.5000 0.5000 0.0000  0.31
Sc: 0.0000 0.0000 0.0000  0.34
Sc: 0.7500 0.2500 0.5000  0.37
Mg: 0.2500 0.7500 0.5000  0.00

energy of formation from the pure elements: 0.190 eV/f.u.
DFT total energy: -15.275 eV/atom


Entry 3:
VASP calculation (meta-GGA SCAN) on a PBEsol-optimized structure of Y2MgSc.

Cell: 3.5015 3.5015 8.7653 Å, 90.00 90.00 90.00°
Each line ends with the local moment (μB).
Sites, in units of the cell vectors:
Y: 0.0000 0.0000 0.9852  0.04
Y: 0.5000 0.5000 0.2687  -0.37
Sc: 0.5000 0.5000 0.7297  0.39
Mg: 0.0000 0.0000 0.5165  0.00

energy of formation from the pure elements: -0.100 eV/f.u.
DFT total energy: -18.749 eV/atom


Entry 4:
VASP calculation (meta-GGA SCAN) on a PBEsol-optimized structure of MgScZn.

Cell: 3.1059 3.1059 6.3933 Å, 104.06 104.06 90.00°
Each line ends with the local moment (μB).
Sites, in units of the cell vectors:
Sc: 0.6834 0.6834 0.3667  0.12
Zn: 0.3325 0.3325 0.6650  0.00
Mg: 0.9841 0.9841 0.9683  0.00

energy of formation from the pure elements: -0.682 eV/f.u.
DFT total energy: -11.136 eV/atom


Entry 5:
VASP calculation (meta-GGA SCAN) on a PBEsol-optimized structure of MgScZn2.

Cell: 3.1533 3.1533 7.0405 Å, 90.00 90.00 90.00°
Each line ends with the local moment (μB).
Sites, in units of the cell vectors:
Sc: 0.5000 0.5000 0.5000  0.11
Zn: 0.0000 0.0000 0.7557  0.00
Zn: 0.0000 0.0000 0.2443  0.00
Mg: 0.5000 0.5000 0.0000  0.00

energy of formation from the pure elements: -1.283 eV/f.u.
DFT total energy: -11.881 eV/atom


Entry 6:
VASP calculation (meta-GGA SCAN) on a PBEsol-optimized structure of MgSc2Zn.

Cell: 3.1833 3.1833 9.8780 Å, 80.74 80.74 60.00°
Each line ends with the local moment (μB).
Sites, in units of the cell vectors:
Mg: 0.2423 0.2423 0.2730  0.00
Sc: 0.0006 0.0006 0.9976  0.37
Sc: 0.7573 0.7573 0.7289  0.37
Zn: 0.4998 0.4998 0.5004  0.01

energy of formation from the pure elements: -0.144 eV/f.u.
DFT total energy: -11.777 eV/atom